# 1
K3Zr2AgSe6: optimized geometry, PBE.

a = 7.0786 Å, b = 7.0786 Å, c = 7.9466 Å
α = 98.43°, β = 98.43°, γ = 120.17°
Closest atoms and distances in Å follow each position.
Fractional coordinates of all 12 atoms:
Ag: 0.0000 0.0000 0.0000  6 Se 2.91-2.96
K: 0.1573 0.8427 0.5000  6 Se 3.22-3.34
Zr: 0.3315 0.6685 0.0000  6 Se 2.73-2.75
Se: 0.7108 0.7108 0.1957  2 Zr 2.75, 1 Ag 2.91
Se: 0.4253 0.0671 0.2017  2 Zr 2.73-2.74, 1 Ag 2.96
Zr: 0.6685 0.3315 0.0000  6 Se 2.73-2.75
Se: 0.2892 0.2892 0.8043  2 Zr 2.75, 1 Ag 2.91
Se: 0.0671 0.4253 0.2017  2 Zr 2.73-2.74, 1 Ag 2.96
Se: 0.5747 0.9329 0.7983  2 Zr 2.73-2.74, 1 Ag 2.96
K: 0.5000 0.5000 0.5000  6 Se 3.19-3.34
Se: 0.9329 0.5747 0.7983  2 Zr 2.73-2.74, 1 Ag 2.96
K: 0.8427 0.1573 0.5000  6 Se 3.22-3.34

Computed properties:
The raw total energy is -4.85 eV per atom. The value obtained for the formation energy (no corrections) is -1170 meV per atom.

---

# 2
CuHPd3: optimized geometry, PBE.

a = 4.8395 Å, b = 5.5849 Å, c = 4.7979 Å
α = 74.13°, β = 81.17°, γ = 90.64°
Closest atoms and distances in Å follow each position.
Fractional coordinates of all 10 atoms:
Pd: 0.7357 0.0753 0.6188  2 H 1.95-2.06
Pd: 0.0020 0.9559 0.1211  2 H 1.94-2.05
Pd: 0.9960 0.4517 0.1173  2 H 1.95-1.99
Pd: 0.7417 0.5795 0.6227  2 H 1.95-1.99
H: 0.8933 0.2740 0.8379  5 Pd 1.88-2.05
Cu: 0.2505 0.8308 0.6138  1 H 2.19
Cu: 0.4870 0.2011 0.1255  1 H 2.19
Pd: 0.2530 0.3249 0.6110  1 H 1.88
Pd: 0.4847 0.7065 0.1289  1 H 1.88
H: 0.8450 0.7563 0.9028  5 Pd 1.88-2.06

Computed properties:
The raw total energy is -4.67 eV per atom. Its density of states at the Fermi level is 3.9 states/eV/cell.

---

# 3
ScMn2NbCr: optimized geometry, PBE.

a = 4.3675 Å, b = 4.6480 Å, c = 4.3675 Å
α = 90.00°, β = 90.00°, γ = 90.00°
Closest atoms and distances in Å follow each position.
Fractional coordinates of all 5 atoms:
Sc: 0.5000 0.5000 0.5000  4 Nb 3.09, 8 Mn 3.19
Mn: 0.0000 0.0000 0.5000  2 Cr 2.18
Cr: 0.0000 0.0000 0.0000  4 Mn 2.18, 2 Nb 2.32
Mn: 0.5000 0.0000 0.0000  2 Cr 2.18
Nb: 0.0000 0.5000 0.0000  2 Cr 2.32

Computed properties:
The raw total energy is -8.22 eV per atom. Its density of states at the Fermi level is 6.4 states/eV/cell. For the energy relative to the elements, the calculation gives 0.654 eV per atom.